Record 1
NdSe: optimized geometry, PBEsol.

Calculated values
Raw formation energy (eV per atom): -1.896
Theoretical density (Mg/m³): 7.23

The structure in POSCAR format:
```
NdSe
1.0
-0.603 0.154 -4.122
2.125 -2.557 -2.515
-1.964 -3.126 -1.938
Nd Se
1 1
direct
0.000 0.000 0.000
0.500 0.500 0.500
```



Record 2
Nd10Se19: optimized geometry, PBEsol.

Calculated values
Raw formation energy (eV per atom): -1.727
Theoretical density (Mg/m³): 6.90

The structure in POSCAR format:
```
Nd10Se19
1.0
-6.143 6.029 3.198
-6.766 -5.942 -1.794
1.631 -6.507 15.402
Nd Se
20 38
direct
0.706 0.597 0.131
0.697 0.602 0.643
0.303 0.398 0.643
0.597 0.294 0.869
0.000 0.500 0.867
0.197 0.102 0.857
0.794 0.903 0.369
0.097 0.794 0.631
0.500 0.000 0.633
0.102 0.803 0.143
0.403 0.706 0.869
0.398 0.697 0.357
0.206 0.097 0.369
0.903 0.206 0.631
0.803 0.898 0.857
0.602 0.303 0.357
0.500 0.000 0.133
0.000 0.500 0.367
0.898 0.197 0.143
0.294 0.403 0.131
0.871 0.686 0.501
0.629 0.814 0.999
0.198 0.101 0.186
0.129 0.314 0.501
0.302 0.399 0.314
0.500 0.000 0.814
0.186 0.629 0.001
0.079 0.280 0.000
0.780 0.421 0.500
0.500 0.000 0.314
0.101 0.802 0.814
0.403 0.701 0.179
0.903 0.201 0.321
0.000 0.500 0.186
0.701 0.597 0.821
0.000 0.500 0.686
0.799 0.903 0.679
0.421 0.220 0.500
0.601 0.302 0.686
0.371 0.186 0.999
0.814 0.371 0.001
0.299 0.403 0.821
0.500 0.500 0.000
0.899 0.198 0.814
0.201 0.097 0.679
0.314 0.871 0.499
0.280 0.921 0.000
0.097 0.799 0.321
0.686 0.129 0.499
0.698 0.601 0.314
0.597 0.299 0.179
0.921 0.720 0.000
0.802 0.899 0.186
0.579 0.780 0.500
0.000 0.000 0.500
0.399 0.698 0.686
0.720 0.079 0.000
0.220 0.579 0.500
```



Record 3
Nd12Si5Se28: optimized geometry, PBEsol.

Calculated values
Raw formation energy (eV per atom): -1.403
Theoretical density (Mg/m³): 5.99

The structure in POSCAR format:
```
Nd12Si5Se28
1.0
10.447 0.000 0.000
-5.223 9.047 0.000
0.000 0.000 23.932
Nd Se Si
24 56 10
direct
0.972 0.437 0.197
0.989 0.438 0.454
0.450 0.011 0.454
0.465 0.028 0.197
0.210 0.315 0.571
0.561 0.528 0.939
0.200 0.315 0.812
0.105 0.799 0.073
0.212 0.305 0.328
0.093 0.788 0.328
0.115 0.800 0.812
0.685 0.895 0.571
0.967 0.439 0.939
0.695 0.907 0.328
0.557 0.537 0.693
0.463 0.019 0.693
0.201 0.306 0.073
0.981 0.443 0.693
0.562 0.550 0.454
0.105 0.790 0.571
0.563 0.535 0.197
0.694 0.895 0.073
0.685 0.885 0.812
0.472 0.033 0.939
0.924 0.155 0.389
0.667 0.333 0.143
0.858 0.769 0.887
0.437 0.250 0.264
0.910 0.142 0.887
0.667 0.333 0.396
0.088 0.511 0.074
0.753 0.187 0.759
0.667 0.333 0.890
0.422 0.921 0.573
0.852 0.769 0.635
0.917 0.148 0.635
0.101 0.512 0.316
0.853 0.770 0.141
0.590 0.830 0.698
0.431 0.925 0.827
0.182 0.754 0.205
0.750 0.187 0.264
0.499 0.578 0.573
0.916 0.147 0.141
0.231 0.083 0.635
0.753 0.187 0.012
0.667 0.333 0.644
0.245 0.438 0.961
0.160 0.753 0.447
0.488 0.589 0.316
0.813 0.563 0.264
0.079 0.501 0.573
0.816 0.563 0.512
0.247 0.407 0.447
0.813 0.566 0.012
0.423 0.912 0.074
0.170 0.761 0.698
0.562 0.808 0.961
0.231 0.076 0.389
0.246 0.428 0.205
0.192 0.755 0.961
0.572 0.818 0.205
0.411 0.899 0.316
0.434 0.247 0.759
0.000 0.000 0.273
0.231 0.090 0.887
0.434 0.247 0.012
0.593 0.840 0.447
0.813 0.566 0.759
0.239 0.410 0.698
0.000 0.000 0.520
0.437 0.253 0.512
0.075 0.506 0.827
0.845 0.769 0.389
0.747 0.184 0.512
0.230 0.084 0.141
0.000 0.000 0.019
0.000 0.000 0.767
0.494 0.569 0.827
0.489 0.577 0.074
0.000 0.000 0.427
0.667 0.333 0.550
0.000 0.000 0.179
0.333 0.667 0.016
0.667 0.333 0.048
0.333 0.667 0.264
0.000 0.000 0.924
0.667 0.333 0.303
0.667 0.333 0.795
0.000 0.000 0.672
```



Record 4
SrNd2Se4: optimized geometry, PBEsol.

Calculated values
Raw formation energy (eV per atom): -1.977
Theoretical density (Mg/m³): 6.50

The structure in POSCAR format:
```
SrNd2Se4
1.0
-2.136 -4.202 -6.109
-1.877 -3.737 6.484
-3.618 6.813 -0.177
Nd Se Sr
4 8 2
direct
0.125 0.002 0.377
0.252 0.875 0.877
0.998 0.375 0.123
0.625 0.748 0.623
0.522 0.116 0.749
0.884 0.633 0.407
0.366 0.272 0.249
0.367 0.773 0.251
0.883 0.634 0.907
0.227 0.478 0.593
0.728 0.977 0.093
0.023 0.117 0.751
0.750 0.250 0.500
0.500 0.500 0.000
```